First-principles (PBE-GGA) data for a relaxed structure of Sr3Cd4Pb4, as listed in the Alexandria database.

Calculated values
- Calculated formation energy: -0.35 eV/atom

a = 5.168 Å, b = 7.830 Å, c = 16.848 Å
α = 90.00°, β = 90.00°, γ = 90.00°
Space group Immm (No. 71)
Symmetry-distinct sites (fractional):
Sr1 0.000 0.000 0.000 [2 per cell]
Sr2 0.000 0.500 0.124 [4 per cell]
Cd1 0.000 0.305 0.331 [8 per cell]
Pb1 0.000 0.000 0.216 [4 per cell]
Pb2 0.000 0.197 0.500 [4 per cell]

First-principles (PBE-GGA) data for a relaxed structure of CoSn2Te2, as listed in the Alexandria database.

Calculated values
- Energy relative to the lowest polymorph listed for this composition: 0 meV per atom
- E_form (uncorrected): 272.1 meV per atom

a = 6.890 Å, b = 6.890 Å, c = 6.246 Å
α = 90.00°, β = 90.00°, γ = 90.00°
Space group P4/mbm (No. 127)
Symmetry-distinct sites (fractional):
Co1 0.000 0.000 0.000 [2 per cell]
Sn1 0.217 0.283 0.000 [4 per cell]
Te1 0.145 0.355 0.500 [4 per cell]

Ordered DFT total energy results: -2.4869; -4.0069; unit eV per atom.
Ordered M_tot results: 0.00; 1.06; unit μB/f.u..